Li2Sm2Ni15 | the Alexandria database | GGA-PBE | optimized geometry; formation enthalpy at 0 K = -0.21 eV per atom; space group = No. 166
1.0
6.2520 -0.0399 0.7728
0.6783 6.2152 0.7728
-0.0448 -0.0399 6.2994
Li Sm Ni
2 2 15
Direct
0.0931 0.0931 0.0931
0.9069 0.9069 0.9069
0.3427 0.3427 0.3427
0.6573 0.6573 0.6573
0.5000 0.0000 0.0000
0.0000 0.0000 0.5000
0.0000 0.5000 0.0000
0.0000 0.6985 0.3015
0.6985 0.3015 0.0000
0.3015 0.0000 0.6985
0.3015 0.6985 0.0000
0.6985 0.0000 0.3015
0.0000 0.3015 0.6985
0.1573 0.6576 0.6576
0.6576 0.6576 0.1573
0.6576 0.1573 0.6576
0.8427 0.3424 0.3424
0.3424 0.3424 0.8427
0.3424 0.8427 0.3424

Li3Sm2Ni12Sn | the Alexandria database | GGA-PBE | optimized geometry; formation enthalpy at 0 K = 0.09 eV per atom; space group = No. 166
1.0
-3.7814 7.7823 3.8629
-7.7311 5.4784 0.0551
-7.0859 3.1029 5.4725
Li Sm Ni Sn
3 2 12 1
Direct
0.5000 0.0000 0.0000
0.0000 0.5000 0.0000
0.0000 0.0000 0.5000
0.6373 0.6373 0.6373
0.3627 0.3627 0.3627
0.4141 0.4141 0.8024
0.8733 0.8733 0.4530
0.4530 0.8733 0.8733
0.8024 0.4141 0.4141
0.8733 0.4530 0.8733
0.4141 0.8024 0.4141
0.5859 0.5859 0.1976
0.1267 0.1267 0.5470
0.5470 0.1267 0.1267
0.1976 0.5859 0.5859
0.1267 0.5470 0.1267
0.5859 0.1976 0.5859
0.0000 0.0000 0.0000